No. 1
Crystalline PtSeS2N at its relaxed geometry. Source: Alexandria via LeMat-Bulk, functional PBE.

a b c (Å): 4.9536 4.9536 3.6737
angles (deg): 90.00 90.00 90.00
With the nearest neighbours (Å) after each atom.
Space group P4/mmm (No. 123)
Unique sites:
Pt 0.0000 0.0000 0.0000 x1  2 N 1.84
Se 0.5000 0.5000 0.5000 x1  8 S 3.08
S 0.0000 0.5000 0.0000 x2  2 Pt 2.48
N 0.0000 0.0000 0.5000 x1  2 Pt 1.84

Values from the calculation:
Polymorph energy (0 for the lowest one): 0 meV per atom
Energy relative to the elements, uncorrected: 0.88 eV/atom
Spin magnetization: 0.00 μB per formula unit


No. 2
Crystalline PtSeSN2 at its relaxed geometry. Source: Alexandria via LeMat-Bulk, functional PBE.

a b c (Å): 3.5654 3.5654 7.3845
angles (deg): 90.00 90.00 90.00
With the nearest neighbours (Å) after each atom.
Space group P4/mmm (No. 123)
Unique sites:
Pt 0.0000 0.0000 0.0000 x1  4 S 2.52
Se 0.5000 0.5000 0.5000 x1  4 N 1.78
S 0.5000 0.5000 0.0000 x1  4 Pt 2.52
N 0.0000 0.5000 0.5000 x2  2 Se 1.78

Values from the calculation:
Polymorph energy (0 for the lowest one): 457 meV per atom
Energy relative to the elements, uncorrected: 1.63 eV/atom
Spin magnetization: 0.00 μB per formula unit


No. 3
Crystalline PtSeSN2 at its relaxed geometry. Source: Alexandria via LeMat-Bulk, functional PBE.

a b c (Å): 3.7050 3.7050 8.5927
angles (deg): 90.00 90.00 90.00
With the nearest neighbours (Å) after each atom.
Space group P4/mmm (No. 123)
Unique sites:
Pt 0.0000 0.0000 0.0000 x1  4 N 1.85
Se 0.5000 0.5000 0.5000 x1  4 S 2.62
S 0.0000 0.0000 0.5000 x1  4 Se 2.62
N 0.0000 0.5000 0.0000 x2  2 Pt 1.85

Values from the calculation:
Polymorph energy (0 for the lowest one): 0 meV per atom
Energy relative to the elements, uncorrected: 1.17 eV/atom
Spin magnetization: 0.00 μB per formula unit


No. 4
Crystalline SiPtSN2 at its relaxed geometry. Source: Alexandria via LeMat-Bulk, functional PBE.

a b c (Å): 3.3841 3.3841 7.6379
angles (deg): 90.00 90.00 90.00
With the nearest neighbours (Å) after each atom.
Space group P4/mmm (No. 123)
Unique sites:
Si 0.0000 0.0000 0.0000 x1  4 N 1.69
Pt 0.5000 0.5000 0.5000 x1  4 S 2.39
S 0.0000 0.0000 0.5000 x1  4 Pt 2.39
N 0.0000 0.5000 0.0000 x2  2 Si 1.69

Values from the calculation:
Polymorph energy (0 for the lowest one): 0 meV per atom
Energy relative to the elements, uncorrected: 0.57 eV/atom
Spin magnetization: 0.00 μB per formula unit


| no. | uncorrected energy (eV per atom) |
| --- | --- |
| 1 | -4.343 |
| 2 | -4.429 |
| 3 | -4.886 |
| 4 | -5.879 |